(1)
DFT (GGA-PBE) results for a relaxed Nd6As2PS3 crystal.

* V: 25.47 Å³ per atom
* total magnetic moment: 0.000 μB/atom
* formation energy from raw total energies: -1812 meV per atom
* space group: No. 12
* N(E_F): 4.2 states/eV/f.u.

Unit cell a=4.1664 b=8.3067 c=9.3041 alpha=102.77 beta=102.94 gamma=90.00
Positions (direct):
Nd  0.3360  0.9199  0.6720
Nd  0.6656  0.5842  0.3313
Nd  0.6640  0.0801  0.3280
Nd  0.9993  0.2429  0.9985
Nd  0.0007  0.7571  0.0015
Nd  0.3344  0.4158  0.6687
As  0.8333  0.6667  0.6667
As  0.1667  0.3333  0.3333
P  0.5000  0.0000  0.0000
S  0.5000  0.5000  0.0000
S  0.8326  0.1665  0.6652
S  0.1674  0.8335  0.3348

(2)
DFT (GGA-PBE) results for a relaxed RbScHg2 crystal.

* V: 29.26 Å³ per atom
* calculated formation energy: 0.11 eV/atom
* total magnetic moment: 0.000 μB/atom
* space group: No. 225
* N(E_F): 2.5 states/eV/f.u.
* distance to the lowest polymorph of the same formula: 109.4 kJ/mol of formula units

Unit cell a=5.4903 b=5.4903 c=5.4903 alpha=60.00 beta=60.00 gamma=60.00
Positions (direct):
Sc  0.0000  0.0000  0.0000
Hg  0.2500  0.2500  0.2500
Hg  0.7500  0.7500  0.7500
Rb  0.5000  0.5000  0.5000

(3)
DFT (GGA-PBE) results for a relaxed CePb2Br8 crystal.

* V: 39.23 Å³ per atom
* total magnetic moment: 0.000 μB/atom
* formation energy from raw total energies: -1155 meV per atom
* space group: No. 12

Unit cell a=7.2256 b=7.9427 c=8.3459 alpha=88.31 beta=115.65 gamma=90.00
Positions (direct):
Ce  0.0000  0.0000  0.0000
Pb  0.1394  0.4822  0.2788
Pb  0.8606  0.5178  0.7212
Br  0.7039  0.2583  0.9159
Br  0.2120  0.2583  0.9159
Br  0.2961  0.7417  0.0841
Br  0.6928  0.3960  0.3856
Br  0.7880  0.7417  0.0841
Br  0.1773  0.0981  0.3546
Br  0.8227  0.9019  0.6454
Br  0.3072  0.6040  0.6144

(4)
DFT (GGA-PBE) results for a relaxed BaCrRe2 crystal.

* V: 22.25 Å³ per atom
* calculated formation energy: 0.92 eV/atom
* total magnetic moment: 0.001 μB/atom
* space group: No. 12
* N(E_F): 4.7 states/eV/f.u.
* distance to the lowest polymorph of the same formula: 49.4 kJ/mol of formula units

Unit cell a=4.8117 b=4.8117 c=6.5072 alpha=77.55 beta=77.55 gamma=37.35
Positions (direct):
Ba  0.2500  0.2500  0.2500
Cr  0.7500  0.7500  0.7500
Re  0.0412  0.0412  0.8777
Re  0.4588  0.4588  0.6223